Record 1
The following is a PBE with a Hubbard U calculation of a relaxed structure of CdNiBO4, from Alexandria via LeMat-Bulk.

abc: 5.148 5.148 6.218
angles: 90.00 90.00 113.41
Fractional coordinates of all 14 atoms:
Cd 0.500 0.500 0.500
Cd 0.500 0.500 0.000
Ni 0.841 0.159 0.250
Ni 0.159 0.841 0.750
B 0.137 0.863 0.250
B 0.863 0.137 0.750
O 0.181 0.239 0.750
O 0.761 0.819 0.750
O 0.770 0.230 0.949
O 0.770 0.230 0.551
O 0.230 0.770 0.051
O 0.230 0.770 0.449
O 0.819 0.761 0.250
O 0.239 0.181 0.250

The total energy is -5.573 eV/atom. The calculation puts the density of states at the Fermi level at 7.2 states/eV per cell.



Record 2
The following is a PBE with a Hubbard U calculation of a relaxed structure of CdNi2BO4, from Alexandria via LeMat-Bulk.

abc: 6.461 6.461 9.571
angles: 134.71 134.71 64.18
Fractional coordinates of all 16 atoms:
Cd 0.000 0.500 0.000
Cd 0.000 0.500 0.500
Ni 0.500 0.000 0.000
Ni 0.500 0.000 0.500
Ni 0.000 0.000 0.500
Ni 0.500 0.500 0.000
B 0.500 0.500 0.500
B 0.000 0.000 0.000
O 0.172 0.825 0.953
O 0.675 0.328 0.547
O 0.325 0.672 0.453
O 0.828 0.175 0.047
O 0.753 0.782 0.123
O 0.718 0.747 0.377
O 0.282 0.253 0.623
O 0.247 0.218 0.877

The total energy is -5.172 eV/atom.